No. 1
Below is a relaxed structure of Nd3Dy3HoTe8, with properties calculated at the PBE level.

The structure belongs to space group R-3m (No. 166, hexagonal axes); the cell edges are 8.7902, 8.7902 and 21.7057 Å and the angles 90.00°, 90.00° and 120.00°. The distinct sites, in fractional coordinates, are Nd at (0.0000, 0.5000, 0.0000), Dy at (0.0000, 0.5000, 0.5000), Ho at (0.0000, 0.0000, 0.5000), Te at (0.0000, 0.0000, 0.2462) and Te at (0.0072, 0.5036, 0.7520).

No. 2
Below is a relaxed structure of NbTcTe4, with properties calculated at the PBE level.

The structure belongs to space group C2/c (No. 15); the cell edges are 7.0083, 18.3579 and 6.4296 Å and the angles 90.00°, 122.76° and 90.00°. The distinct sites, in fractional coordinates, are Nb at (0.0000, 0.0834, 0.2500), Tc at (0.0000, 0.4233, 0.7500), Te at (0.2377, 0.4591, 0.2368) and Te at (0.2397, 0.1889, 0.2162).

The calculation puts the distance to the lowest polymorph of the same formula at 278 meV/atom.

Number 1: E_form (uncorrected) -1.404 eV per atom, raw total energy -5.259 eV/atom. Number 2: E_form (uncorrected) -0.071 eV per atom, raw total energy -5.572 eV/atom.